## KBaHg2 (GGA-PBE)

Data for crystalline KBaHg2 at its relaxed geometry.

## Properties
ρ	6.580	g cm⁻³
SG	Imm2, No. 44
DFT total energy	-0.0439	hartree per atom
energy of formation	-0.288	eV/atom

Unit cell a=6.9910 b=6.9910 c=6.9910 alpha=144.90 beta=131.45 gamma=61.31
Closest atoms and distances in Å follow each position.
Fractional coordinates of all 4 atoms:
Ba 0.2222 0.7222 0.5000  6 Hg 3.64, 2 K 3.78
Hg 0.9755 0.9755 0.0000  2 Hg 3.12
Hg 0.7845 0.2845 0.5000  2 Hg 3.12
K 0.5178 0.5178 0.0000  8 Hg 3.60-4.02, 2 Ba 3.78